Compound: Cs3ZnI
Source: Alexandria via LeMat-Bulk
Functional: PBE-GGA
Structure: relaxed

Values from the calculation:
magnetization	0.00	μB per formula unit
formation energy without anion corrections	-0.373	eV/atom
crystal system	cubic
energy above the lowest structure with this stoichiometry	0	meV per atom

a = 7.5250 Å, b = 7.5250 Å, c = 7.5250 Å
α = 90.00°, β = 90.00°, γ = 90.00°
Closest atoms and distances in Å follow each position.
Sites, in units of the cell vectors:
1 Cs 0.0000 0.5000 0.0000  2 I 3.76
2 Cs 0.0000 0.0000 0.5000  2 I 3.76
3 Cs 0.5000 0.0000 0.0000  2 I 3.76
4 I 0.0000 0.0000 0.0000  6 Cs 3.76
5 Zn 0.5000 0.5000 0.5000  12 Cs 5.32